An optimized crystal structure of Mg2TcAs, computed with PBE-GGA.

a = 3.2302 Å, b = 3.2302 Å, c = 6.9541 Å
α = 90.00°, β = 90.00°, γ = 90.00°
Atoms (fractional coordinates):
Mg: 0.0000 0.0000 0.0000
Mg: 0.5000 0.5000 0.3267
Tc: 0.0000 0.0000 0.5824
As: 0.5000 0.5000 0.7412

Energy of formation from the pure elements   -0.644 eV/f.u.
Density of states at the Fermi level   0.34 states/eV per atom

***

An optimized crystal structure of Mg3TcAs, computed with PBE-GGA.

a = 4.9348 Å, b = 4.9348 Å, c = 4.9348 Å
α = 90.00°, β = 90.00°, γ = 90.00°
Atoms (fractional coordinates):
Mg: 0.0000 0.0000 0.5000
Mg: 0.0000 0.5000 0.0000
Mg: 0.5000 0.0000 0.0000
Tc: 0.5000 0.5000 0.5000
As: 0.0000 0.0000 0.0000

Energy of formation from the pure elements   3.519 eV/f.u.
Offset from the most stable computed form   0.00 eV per formula unit
Density of states at the Fermi level   0.77 states/eV per atom

***

An optimized crystal structure of MgTcAs, computed with PBE-GGA.

a = 4.1827 Å, b = 4.1827 Å, c = 3.4436 Å
α = 90.00°, β = 90.00°, γ = 120.00°
Atoms (fractional coordinates):
Mg: 0.0000 0.0000 0.0000
Tc: 0.6667 0.3333 0.5000
As: 0.3333 0.6667 0.5000

Energy of formation from the pure elements   -0.217 eV/f.u.
Offset from the most stable computed form   0.66 eV per formula unit
Density of states at the Fermi level   0.74 states/eV per atom

***

An optimized crystal structure of MgTc4As, computed with PBE-GGA.

a = 5.1997 Å, b = 5.1997 Å, c = 5.1997 Å
α = 60.00°, β = 60.00°, γ = 60.00°
Atoms (fractional coordinates):
Mg: 0.0000 0.0000 0.0000
Tc: 0.1271 0.6243 0.6243
Tc: 0.6243 0.1271 0.6243
Tc: 0.6243 0.6243 0.1271
Tc: 0.6243 0.6243 0.6243
As: 0.2500 0.2500 0.2500

Energy of formation from the pure elements   2.344 eV/f.u.
Density of states at the Fermi level   1.05 states/eV per atom

***

An optimized crystal structure of MgTc2As, computed with PBE-GGA.

a = 2.9514 Å, b = 4.3603 Å, c = 5.0872 Å
α = 90.00°, β = 106.51°, γ = 90.00°
Atoms (fractional coordinates):
Mg: 0.0000 0.0000 0.0000
Tc: 0.2631 0.0000 0.5215
Tc: 0.6747 0.5000 0.3338
As: 0.3967 0.5000 0.7856

Energy of formation from the pure elements   0.226 eV/f.u.
Offset from the most stable computed form   0.34 eV per formula unit
Density of states at the Fermi level   0.72 states/eV per atom

***

An optimized crystal structure of MgTcAs2, computed with PBE-GGA.

a = 4.5456 Å, b = 4.5456 Å, c = 4.5456 Å
α = 60.00°, β = 60.00°, γ = 60.00°
Atoms (fractional coordinates):
Mg: 0.0000 0.0000 0.0000
Tc: 0.7500 0.7500 0.7500
As: 0.2500 0.2500 0.2500
As: 0.5000 0.5000 0.5000

Energy of formation from the pure elements   1.507 eV/f.u.
Density of states at the Fermi level   0.75 states/eV per atom

***

An optimized crystal structure of MgTcAs2, computed with PBE-GGA.

a = 5.3629 Å, b = 5.3629 Å, c = 5.3629 Å
α = 138.37°, β = 138.37°, γ = 60.33°
Atoms (fractional coordinates):
Mg: 0.0000 0.0000 0.0000
Tc: 0.2500 0.7500 0.5000
As: 0.5000 0.5000 0.0000
As: 0.7500 0.2500 0.5000

Energy of formation from the pure elements   0.558 eV/f.u.
Density of states at the Fermi level   0.76 states/eV per atom

***

An optimized crystal structure of MgTc2As, computed with PBE-GGA.

a = 5.2285 Å, b = 5.2285 Å, c = 5.2285 Å
α = 144.90°, β = 131.54°, γ = 61.23°
Atoms (fractional coordinates):
Mg: 0.0000 0.0000 0.0000
Tc: 0.2636 0.7636 0.5000
Tc: 0.5098 0.5098 0.0000
As: 0.7322 0.2322 0.5000

Energy of formation from the pure elements   0.465 eV/f.u.
Offset from the most stable computed form   0.58 eV per formula unit
Density of states at the Fermi level   0.94 states/eV per atom

***

An optimized crystal structure of MgTcAs, computed with PBE-GGA.

a = 4.2138 Å, b = 4.2138 Å, c = 4.2138 Å
α = 60.00°, β = 60.00°, γ = 60.00°
Atoms (fractional coordinates):
Mg: 0.0000 0.0000 0.0000
Tc: 0.5000 0.5000 0.5000
As: 0.2500 0.2500 0.2500

Energy of formation from the pure elements   0.166 eV/f.u.
Offset from the most stable computed form   1.05 eV per formula unit
Density of states at the Fermi level   0.47 states/eV per atom

***

An optimized crystal structure of MgTc2As, computed with PBE-GGA.

a = 4.7591 Å, b = 4.7591 Å, c = 4.7591 Å
α = 130.70°, β = 130.70°, γ = 72.29°
Atoms (fractional coordinates):
Mg: 0.0000 0.0000 0.0000
Tc: 0.2500 0.7500 0.5000
Tc: 0.5000 0.5000 0.0000
As: 0.7500 0.2500 0.5000

Energy of formation from the pure elements   0.692 eV/f.u.
Offset from the most stable computed form   0.81 eV per formula unit
Density of states at the Fermi level   0.90 states/eV per atom

***

An optimized crystal structure of MgTcAs2, computed with PBE-GGA.

a = 3.0818 Å, b = 3.0818 Å, c = 8.1302 Å
α = 90.00°, β = 90.00°, γ = 113.43°
Atoms (fractional coordinates):
Mg: 0.0000 0.0000 0.0000
Tc: 0.0000 0.0000 0.5000
As: 0.5000 0.5000 0.2701
As: 0.5000 0.5000 0.7299

Energy of formation from the pure elements   0.510 eV/f.u.
Density of states at the Fermi level   0.84 states/eV per atom

***

An optimized crystal structure of MgTcAs2, computed with PBE-GGA.

a = 4.5152 Å, b = 4.5152 Å, c = 3.2573 Å
α = 90.70°, β = 90.70°, γ = 99.41°
Atoms (fractional coordinates):
Mg: 0.0000 0.0000 0.0000
Tc: 0.5000 0.5000 0.0000
As: 0.0000 0.5000 0.5000
As: 0.5000 0.0000 0.5000

Energy of formation from the pure elements   0.222 eV/f.u.
Density of states at the Fermi level   0.80 states/eV per atom